! PBE TaCdRh2, relaxed; values from VASP
&SYSTEM
  ibrav = 0, nat = 4, ntyp = 3
/
ATOMIC_SPECIES
Ta 180.95 Ta.upf
Cd 112.41 Cd.upf
Rh 102.91 Rh.upf
ATOMIC_POSITIONS angstrom
Ta 2.272 2.272 1.582
Cd 0.000 0.000 1.582
Rh 2.272 0.000 0.000
Rh 0.000 2.272 0.000
CELL_PARAMETERS angstrom
4.544 0.000 0.000
0.000 4.544 0.000
0.000 0.000 3.163
! ΔH_f (0 K) = -0.240 eV/atom
! DOS(E_F) = 1.033 states/eV per atom
! Energy = -28.4 eV/cell
! Size of the total moment = 0.00 μB/f.u.
! Space-group type = P4/mmm (123)